Here is crystalline Sm2MgPt at its relaxed geometry from the Alexandria database. Energies are from GGA-PBE.

Computed properties:
Total moment (μB/cell): 0.000
ρ (g/cm³): 8.48
Space-group type: P4/mmm (123)
Calculated total energy (eV per atom): -4.88
Crystal system: tetragonal

Unit cell a=3.6999 b=3.6999 c=7.4368 alpha=90.00 beta=90.00 gamma=90.00
Element x y z (fractional)
Sm 0.0000 0.0000 0.2214
Sm 0.0000 0.0000 0.7786
Mg 0.5000 0.5000 0.5000
Pt 0.5000 0.5000 0.0000